AcTmBr: relaxed, PBE-GGA.

Summary:
Uncorrected energy: -4.0855 eV per atom
DOS(E_F): 2.6 states/eV/f.u.

Lattice parameters (Å, degrees): 3.759 3.759 14.953 90.00 90.15 90.00
Space group P2_1/m (No. 11)
Asymmetric unit:
Ac  0.249  0.250  0.399
Tm  0.253  0.250  0.775
Br  0.246  0.250  0.121

=====

AcTm2Br: relaxed, PBE-GGA.

Summary:
Uncorrected energy: -3.8643 eV per atom
DOS(E_F): 5.8 states/eV/f.u.

Lattice parameters (Å, degrees): 3.5676 3.5676 34.9615 90.00 90.00 120.00
Space group R-3m (No. 166, hexagonal axes)
Asymmetric unit:
Ac  0.0000  0.0000  0.0000
Tm  0.0000  0.0000  0.1000
Br  0.0000  0.0000  0.5000

=====

AcVBr: relaxed, PBE-GGA.

Summary:
Uncorrected energy: -5.0820 eV per atom
DOS(E_F): 2.6 states/eV/f.u.

Lattice parameters (Å, degrees): 6.626 6.790 34.607 90.00 90.00 90.00
Space group Fddd (No. 70, origin choice 2)
Asymmetric unit:
Ac  0.125  0.125  0.054
V  0.125  0.125  0.511
Br  0.125  0.358  0.625

=====

AcVBr2: relaxed, PBE-GGA.

Summary:
Uncorrected energy: -4.5538 eV per atom
DOS(E_F): 2.4 states/eV/f.u.

Lattice parameters (Å, degrees): 3.9389 3.9389 28.3121 90.00 90.00 120.00
Space group R-3m (No. 166, hexagonal axes)
Asymmetric unit:
Ac  0.0000  0.0000  0.0000
V  0.0000  0.0000  0.5000
Br  0.0000  0.0000  0.1158

=====

AcYBr2: relaxed, PBE-GGA.

Summary:
Uncorrected energy: -4.5511 eV per atom
DOS(E_F): 1.8 states/eV/f.u.

Lattice parameters (Å, degrees): 3.8784 3.8784 31.3583 90.00 90.00 120.00
Space group R-3m (No. 166, hexagonal axes)
Asymmetric unit:
Ac  0.0000  0.0000  0.0000
Y  0.0000  0.0000  0.5000
Br  0.0000  0.0000  0.4089

=====

AcYBr: relaxed, PBE-GGA.

Summary:
Uncorrected energy: -4.8164 eV per atom
DOS(E_F): 3.5 states/eV/f.u.

Lattice parameters (Å, degrees): 3.8692 3.8692 7.9478 90.00 90.00 120.00
Space group P3m1 (No. 156)
Asymmetric unit:
Ac  0.0000  0.0000  0.0000
Y  0.6667  0.3333  0.3706
Br  0.3333  0.6667  0.6379

=====

AcY2Br: relaxed, PBE-GGA.

Summary:
Uncorrected energy: -4.9299 eV per atom
DOS(E_F): 6.4 states/eV/f.u.

Lattice parameters (Å, degrees): 3.6122 3.6122 35.0942 90.00 90.00 120.00
Space group R-3m (No. 166, hexagonal axes)
Asymmetric unit:
Ac  0.0000  0.0000  0.0000
Y  0.0000  0.0000  0.1006
Br  0.0000  0.0000  0.5000

=====

AcZnBr2: relaxed, PBE-GGA.

Summary:
Uncorrected energy: -2.7131 eV per atom
DOS(E_F): 4.8 states/eV/f.u.

Lattice parameters (Å, degrees): 4.2094 4.2094 28.4675 90.00 90.00 120.00
Space group R-3m (No. 166, hexagonal axes)
Asymmetric unit:
Ac  0.0000  0.0000  0.0000
Zn  0.0000  0.0000  0.5000
Br  0.0000  0.0000  0.1046

=====

AcZrBr2: relaxed, PBE-GGA.

Summary:
Uncorrected energy: -4.6690 eV per atom
DOS(E_F): 3.3 states/eV/f.u.

Lattice parameters (Å, degrees): 3.6987 3.6987 30.8313 90.00 90.00 120.00
Space group R-3m (No. 166, hexagonal axes)
Asymmetric unit:
Ac  0.0000  0.0000  0.0000
Zr  0.0000  0.0000  0.5000
Br  0.0000  0.0000  0.4112

=====

AcC2: relaxed, PBE-GGA.

Summary:
ΔH_f (0 K): -7 kJ per mole of atoms
DOS(E_F): 1.2 states/eV/f.u.

Lattice parameters (Å, degrees): 4.092 4.092 6.806 90.00 90.00 90.00
Space group I4/mmm (No. 139)
Asymmetric unit:
Ac  0.000  0.000  0.000
C  0.000  0.000  0.405

=====

Ac3C: relaxed, PBE-GGA.

Summary:
ΔH_f (0 K): 23 kJ per mole of atoms
DOS(E_F): 4.3 states/eV/f.u.

Lattice parameters (Å, degrees): 3.684 11.188 6.704 90.00 90.00 90.00
Space group Imm2 (No. 44)
Asymmetric unit:
Ac  0.000  0.000  0.000
Ac  0.000  0.159  0.452
C  0.000  0.500  0.795

=====

Ac2C3: relaxed, PBE-GGA.

Summary:
ΔH_f (0 K): 0 kJ per mole of atoms
DOS(E_F): 2.4 states/eV/f.u.

Lattice parameters (Å, degrees): 9.171 9.171 9.171 90.00 90.00 90.00
Space group I-43d (No. 220)
Asymmetric unit:
Ac  0.053  0.447  0.553
C  0.000  0.250  0.802

=====

AcC4: relaxed, PBE-GGA.

Summary:
ΔH_f (0 K): 418 kJ per mole of atoms
DOS(E_F): 5.5 states/eV/f.u.

Lattice parameters (Å, degrees): 4.880 4.880 4.880 90.00 90.00 90.00
Space group Pm-3m (No. 221)
Asymmetric unit:
Ac  0.000  0.000  0.000
C  0.000  0.000  0.500
C  0.500  0.500  0.500

=====

Ac3C: relaxed, PBE-GGA.

Summary:
ΔH_f (0 K): 74 kJ per mole of atoms
DOS(E_F): 6.2 states/eV/f.u.

Lattice parameters (Å, degrees): 4.551 5.156 6.537 90.00 90.00 90.00
Space group Pmm2 (No. 25)
Asymmetric unit:
Ac  0.000  0.000  0.000
Ac  0.000  0.500  0.497
Ac  0.500  0.000  0.425
C  0.500  0.500  0.297

=====

CaAc3C: relaxed, PBE-GGA.

Summary:
ΔH_f (0 K): 14 kJ per mole of atoms
DOS(E_F): 6.6 states/eV/f.u.

Lattice parameters (Å, degrees): 5.628 5.628 5.628 90.00 90.00 90.00
Space group Pm-3m (No. 221)
Asymmetric unit:
Ca  0.000  0.000  0.000
Ac  0.000  0.500  0.500
C  0.500  0.500  0.500

=====

CaAcC4: relaxed, PBE-GGA.

Summary:
ΔH_f (0 K): -1 kJ per mole of atoms
DOS(E_F): 1.4 states/eV/f.u.

Lattice parameters (Å, degrees): 7.790 4.026 7.616 90.00 117.80 90.00
Space group C2/m (No. 12)
Asymmetric unit:
Ca  0.000  0.000  0.000
Ac  0.000  0.500  0.500
C  0.196  0.000  0.810
C  0.203  0.500  0.285

=====

Ca2AcC2N6: relaxed, PBE-GGA.

Summary:
Uncorrected energy: -7.3572 eV per atom
DOS(E_F): 4.9 states/eV/f.u.

Lattice parameters (Å, degrees): 5.5654 5.5654 6.4819 90.00 90.00 120.00
Space group P-3 (No. 147)
Asymmetric unit:
Ca  0.3333  0.6667  0.3868
Ac  0.0000  0.0000  0.0000
C  0.3333  0.6667  0.7691
N  0.0958  0.4227  0.7559

=====

CaAc3C2N6: relaxed, PBE-GGA.

Summary:
Uncorrected energy: -7.6875 eV per atom
DOS(E_F): 1.0 states/eV/f.u.

Lattice parameters (Å, degrees): 5.6056 5.6056 6.9783 90.00 90.00 120.00
Space group P-3m1 (No. 164)
Asymmetric unit:
Ca  0.0000  0.0000  0.0000
Ac  0.0000  0.0000  0.5000
Ac  0.3333  0.6667  0.1758
C  0.3333  0.6667  0.7729
N  0.1916  0.3831  0.7826

=====

CaAcC3N6: relaxed, PBE-GGA.

Summary:
Uncorrected energy: -8.1171 eV per atom
DOS(E_F): 3.3 states/eV/f.u.

Lattice parameters (Å, degrees): 10.1557 10.1557 7.1556 90.00 90.00 120.00
Space group R32 (No. 155, hexagonal axes)
Asymmetric unit:
Ca  0.0000  0.0000  0.0000
Ac  0.0000  0.0000  0.5000
C  0.0000  0.4994  0.5000
N  0.1016  0.2047  0.7651

=====

Ca3AcC4O12: relaxed, PBE-GGA.

Summary:
Uncorrected energy: -7.4932 eV per atom
DOS(E_F): 5.9 states/eV/f.u.

Lattice parameters (Å, degrees): 10.2458 10.2458 8.9619 90.00 90.00 120.00
Space group R32 (No. 155, hexagonal axes)
Asymmetric unit:
Ca  0.0000  0.5343  0.0000
Ac  0.0000  0.0000  0.0000
C  0.0000  0.0000  0.5000
C  0.0000  0.4647  0.5000
O  0.0000  0.5928  0.5000
O  0.0000  0.8731  0.5000
O  0.0034  0.2043  0.8293